1.
DFT (PBE) results for crystalline Li2ReMo at its relaxed geometry.

The space group is Cm (No. 8) and the conventional cell measures 9.0398, 2.5158 and 5.3463 Å, with angles of 90.00, 92.38 and 90.00 degrees. The asymmetric unit holds Li at (0.0000, 0.0000, 0.0000), Li at (0.2479, 0.0000, 0.7791), Re at (0.0038, 0.5000, 0.4946) and Mo at (0.2487, 0.5000, 0.2958).

The formation energy comes out at 126 kJ/mol of formula units. The relative energy among the computed polymorphs is 131.3 meV/atom.


2.
DFT (PBE) results for crystalline Li2ReMo at its relaxed geometry.

The space group is F-43m (No. 216) and the conventional cell measures 6.0909, 6.0909 and 6.0909 Å, with angles of 90.00, 90.00 and 90.00 degrees. The asymmetric unit holds Li at (0.0000, 0.0000, 0.0000), Li at (0.2500, 0.2500, 0.2500), Re at (0.2500, 0.2500, 0.7500) and Mo at (0.0000, 0.0000, 0.5000).

The formation energy comes out at 149 kJ/mol of formula units. The relative energy among the computed polymorphs is 190.5 meV/atom.


3.
DFT (PBE) results for crystalline LiReMo2 at its relaxed geometry.

The space group is Cmmm (No. 65) and the conventional cell measures 5.3530, 8.4761 and 2.6503 Å, with angles of 90.00, 90.00 and 90.00 degrees. The asymmetric unit holds Li at (0.0000, 0.0000, 0.0000), Re at (0.0000, 0.5000, 0.0000) and Mo at (0.2500, 0.2500, 0.5000).

The formation energy comes out at 137 kJ/mol of formula units. The relative energy among the computed polymorphs is 146.6 meV/atom.


4.
DFT (PBE) results for crystalline LiRe2Mo2 at its relaxed geometry.

The space group is P4/mbm (No. 127) and the conventional cell measures 7.6305, 7.6305 and 2.8738 Å, with angles of 90.00, 90.00 and 90.00 degrees. The asymmetric unit holds Li at (0.0000, 0.0000, 0.0000), Re at (0.1484, 0.3516, 0.5000) and Mo at (0.1481, 0.6481, 0.0000).

The formation energy comes out at 165 kJ/mol of formula units.


5.
DFT (PBE) results for crystalline LiReMo2 at its relaxed geometry.

The space group is P4/mmm (No. 123) and the conventional cell measures 2.7376, 2.7376 and 8.5614 Å, with angles of 90.00, 90.00 and 90.00 degrees. The asymmetric unit holds Li at (0.0000, 0.0000, 0.0000), Re at (0.0000, 0.0000, 0.5000) and Mo at (0.5000, 0.5000, 0.2699).

The formation energy comes out at 164 kJ/mol of formula units. The relative energy among the computed polymorphs is 216.5 meV/atom.


6.
DFT (PBE) results for crystalline LiReMo4 at its relaxed geometry.

The space group is F-43m (No. 216) and the conventional cell measures 7.3068, 7.3068 and 7.3068 Å, with angles of 90.00, 90.00 and 90.00 degrees. The asymmetric unit holds Li at (0.0000, 0.0000, 0.0000), Re at (0.2500, 0.2500, 0.7500) and Mo at (0.1255, 0.1255, 0.3745).

The formation energy comes out at 239 kJ/mol of formula units.


7.
DFT (PBE) results for crystalline LiReMo at its relaxed geometry.

The space group is Fmm2 (No. 42) and the conventional cell measures 2.9995, 4.3711 and 14.0136 Å, with angles of 90.00, 90.00 and 90.00 degrees. The asymmetric unit holds Li at (0.0000, 0.0000, 0.0000), Re at (0.0000, 0.0000, 0.6643) and Mo at (0.0000, 0.0000, 0.3254).

The formation energy comes out at 79 kJ/mol of formula units. The relative energy among the computed polymorphs is 134.7 meV/atom.


8.
DFT (PBE) results for crystalline LiReMo at its relaxed geometry.

The space group is Imm2 (No. 44) and the conventional cell measures 2.5684, 4.3680 and 7.7967 Å, with angles of 90.00, 90.00 and 90.00 degrees. The asymmetric unit holds Li at (0.0000, 0.0000, 0.0000), Re at (0.0000, 0.0000, 0.3365) and Mo at (0.0000, 0.0000, 0.6661).

The formation energy comes out at 67 kJ/mol of formula units. The relative energy among the computed polymorphs is 92.9 meV/atom.


9.
DFT (PBE) results for crystalline Li2ReMo at its relaxed geometry.

The space group is P4/mmm (No. 123) and the conventional cell measures 3.2596, 3.2596 and 4.9949 Å, with angles of 90.00, 90.00 and 90.00 degrees. The asymmetric unit holds Li at (0.0000, 0.0000, 0.2399), Re at (0.5000, 0.5000, 0.0000) and Mo at (0.5000, 0.5000, 0.5000).

The formation energy comes out at 282 kJ/mol of formula units. The relative energy among the computed polymorphs is 534.3 meV/atom.


10.
DFT (PBE) results for crystalline LiReMo2 at its relaxed geometry.

The space group is I-4m2 (No. 119) and the conventional cell measures 3.8248, 3.8248 and 8.0732 Å, with angles of 90.00, 90.00 and 90.00 degrees. The asymmetric unit holds Li at (0.0000, 0.0000, 0.0000), Re at (0.0000, 0.5000, 0.2500), Mo at (0.0000, 0.0000, 0.5000) and Mo at (0.0000, 0.5000, 0.7500).

The formation energy comes out at 160 kJ/mol of formula units. The relative energy among the computed polymorphs is 204.4 meV/atom.


11.
DFT (PBE) results for crystalline LiReMo2 at its relaxed geometry.

The space group is Cmmm (No. 65) and the conventional cell measures 3.0976, 4.3670 and 9.2470 Å, with angles of 90.00, 90.00 and 90.00 degrees. The asymmetric unit holds Li at (0.0000, 0.0000, 0.0000), Re at (0.0000, 0.0000, 0.5000) and Mo at (0.0000, 0.5000, 0.2586).

The formation energy comes out at 107 kJ/mol of formula units. The relative energy among the computed polymorphs is 66.6 meV/atom.


12.
DFT (PBE) results for crystalline LiReMo2 at its relaxed geometry.

The space group is P4mm (No. 99) and the conventional cell measures 3.2248, 3.2248 and 5.5762 Å, with angles of 90.00, 90.00 and 90.00 degrees. The asymmetric unit holds Li at (0.0000, 0.0000, 0.0000), Re at (0.5000, 0.5000, 0.7718), Mo at (0.0000, 0.0000, 0.5082) and Mo at (0.5000, 0.5000, 0.2334).

The formation energy comes out at 139 kJ/mol of formula units. The relative energy among the computed polymorphs is 150.4 meV/atom.


13.
DFT (PBE) results for crystalline Li2Re2Mo at its relaxed geometry.

The space group is P4/mbm (No. 127) and the conventional cell measures 7.4268, 7.4268 and 2.5553 Å, with angles of 90.00, 90.00 and 90.00 degrees. The asymmetric unit holds Li at (0.1790, 0.3210, 0.0000), Re at (0.1177, 0.6177, 0.5000) and Mo at (0.0000, 0.0000, 0.5000).

The formation energy comes out at 325 kJ/mol of formula units. The relative energy among the computed polymorphs is 0.0 meV/atom.


14.
DFT (PBE) results for crystalline Li2ReMo at its relaxed geometry.

The space group is I4/mmm (No. 139) and the conventional cell measures 3.5812, 3.5812 and 9.2428 Å, with angles of 90.00, 90.00 and 90.00 degrees. The asymmetric unit holds Li at (0.0000, 0.5000, 0.2500), Re at (0.0000, 0.0000, 0.0000) and Mo at (0.0000, 0.0000, 0.5000).

The formation energy comes out at 157 kJ/mol of formula units. The relative energy among the computed polymorphs is 212.3 meV/atom.


15.
DFT (PBE) results for crystalline Li2ReMo at its relaxed geometry.

The space group is Pmm2 (No. 25) and the conventional cell measures 2.5431, 4.2478 and 5.7410 Å, with angles of 90.00, 90.00 and 90.00 degrees. The asymmetric unit holds Li at (0.0000, 0.0000, 0.0000), Li at (0.5000, 0.5000, 0.2185), Re at (0.5000, 0.5000, 0.7160) and Mo at (0.0000, 0.0000, 0.5154).

The formation energy comes out at 130 kJ/mol of formula units. The relative energy among the computed polymorphs is 140.6 meV/atom.


16.
DFT (PBE) results for crystalline LiReMo2 at its relaxed geometry.

The space group is P2/m (No. 10) and the conventional cell measures 2.6283, 4.3939 and 5.2415 Å, with angles of 90.00, 99.94 and 90.00 degrees. The asymmetric unit holds Li at (0.0000, 0.0000, 0.0000), Re at (0.5000, 0.0000, 0.5000) and Mo at (0.2463, 0.5000, 0.7513).

The formation energy comes out at 84 kJ/mol of formula units. The relative energy among the computed polymorphs is 9.0 meV/atom.


17.
DFT (PBE) results for crystalline Li2ReMo at its relaxed geometry.

The space group is Pm (No. 6) and the conventional cell measures 2.5632, 4.3437 and 5.5117 Å, with angles of 90.00, 96.94 and 90.00 degrees. The asymmetric unit holds Li at (0.0000, 0.0000, 0.0000), Li at (0.1404, 0.5000, 0.7772), Re at (0.4471, 0.0000, 0.4964) and Mo at (0.6826, 0.5000, 0.2960).

The formation energy comes out at 100 kJ/mol of formula units. The relative energy among the computed polymorphs is 62.6 meV/atom.


18.
DFT (PBE) results for crystalline LiReMo2 at its relaxed geometry.

The space group is P4/mmm (No. 123) and the conventional cell measures 4.2230, 4.2230 and 3.2988 Å, with angles of 90.00, 90.00 and 90.00 degrees. The asymmetric unit holds Li at (0.0000, 0.0000, 0.0000), Re at (0.5000, 0.5000, 0.0000) and Mo at (0.0000, 0.5000, 0.5000).

The formation energy comes out at 133 kJ/mol of formula units. The relative energy among the computed polymorphs is 135.2 meV/atom.


19.
DFT (PBE) results for crystalline Li2ReMo at its relaxed geometry.

The space group is P4mm (No. 99) and the conventional cell measures 3.1402, 3.1402 and 6.3501 Å, with angles of 90.00, 90.00 and 90.00 degrees. The asymmetric unit holds Li at (0.0000, 0.0000, 0.0000), Li at (0.5000, 0.5000, 0.2489), Re at (0.5000, 0.5000, 0.7335) and Mo at (0.0000, 0.0000, 0.5343).

The formation energy comes out at 127 kJ/mol of formula units. The relative energy among the computed polymorphs is 134.8 meV/atom.


20.
DFT (PBE) results for crystalline Li2ReMo at its relaxed geometry.

The space group is R-3m (No. 166, hexagonal axes) and the conventional cell measures 2.6787, 2.6787 and 29.2740 Å, with angles of 90.00, 90.00 and 120.00 degrees. The asymmetric unit holds Li at (0.0000, 0.0000, 0.2471), Re at (0.0000, 0.0000, 0.5000) and Mo at (0.0000, 0.0000, 0.0000).

The formation energy comes out at 171 kJ/mol of formula units. The relative energy among the computed polymorphs is 248.9 meV/atom.


21.
DFT (PBE) results for crystalline LiReMo2 at its relaxed geometry.

The space group is Pm (No. 6) and the conventional cell measures 2.6319, 4.4133 and 5.2075 Å, with angles of 90.00, 99.50 and 90.00 degrees. The asymmetric unit holds Li at (0.0000, 0.0000, 0.0000), Re at (0.2389, 0.5000, 0.7497), Mo at (0.4779, 0.0000, 0.5081) and Mo at (0.7299, 0.5000, 0.2398).

The formation energy comes out at 81 kJ/mol of formula units. The relative energy among the computed polymorphs is 0.0 meV/atom.


22.
DFT (PBE) results for crystalline LiReMo2 at its relaxed geometry.

The space group is P4mm (No. 99) and the conventional cell measures 2.6096, 2.6096 and 9.1664 Å, with angles of 90.00, 90.00 and 90.00 degrees. The asymmetric unit holds Li at (0.0000, 0.0000, 0.0000), Re at (0.5000, 0.5000, 0.7597), Mo at (0.0000, 0.0000, 0.5121) and Mo at (0.5000, 0.5000, 0.2616).

The formation energy comes out at 167 kJ/mol of formula units. The relative energy among the computed polymorphs is 222.0 meV/atom.


23.
DFT (PBE) results for crystalline LiReMo at its relaxed geometry.

The space group is I4mm (No. 107) and the conventional cell measures 2.5845, 2.5845 and 13.7406 Å, with angles of 90.00, 90.00 and 90.00 degrees. The asymmetric unit holds Li at (0.0000, 0.0000, 0.0000), Re at (0.0000, 0.0000, 0.6601) and Mo at (0.0000, 0.0000, 0.3279).

The formation energy comes out at 144 kJ/mol of formula units. The relative energy among the computed polymorphs is 358.4 meV/atom.


24.
DFT (PBE) results for crystalline LiReMo2 at its relaxed geometry.

The space group is P4/mmm (No. 123) and the conventional cell measures 3.2075, 3.2075 and 5.6431 Å, with angles of 90.00, 90.00 and 90.00 degrees. The asymmetric unit holds Li at (0.0000, 0.0000, 0.0000), Re at (0.0000, 0.0000, 0.5000) and Mo at (0.5000, 0.5000, 0.2338).

The formation energy comes out at 145 kJ/mol of formula units. The relative energy among the computed polymorphs is 165.3 meV/atom.


25.
DFT (PBE) results for crystalline Li2ReMo at its relaxed geometry.

The space group is C2/m (No. 12) and the conventional cell measures 5.1133, 9.5279 and 2.5548 Å, with angles of 90.00, 106.65 and 90.00 degrees. The asymmetric unit holds Li at (0.2500, 0.2500, 0.0000), Re at (0.0000, 0.0000, 0.5000) and Mo at (0.0000, 0.5000, 0.5000).

The formation energy comes out at 131 kJ/mol of formula units. The relative energy among the computed polymorphs is 144.6 meV/atom.


26.
DFT (PBE) results for crystalline Li2ReMo at its relaxed geometry.

The space group is P4/mmm (No. 123) and the conventional cell measures 3.5817, 3.5817 and 4.6232 Å, with angles of 90.00, 90.00 and 90.00 degrees. The asymmetric unit holds Li at (0.0000, 0.5000, 0.0000), Re at (0.0000, 0.0000, 0.5000) and Mo at (0.5000, 0.5000, 0.5000).

The formation energy comes out at 151 kJ/mol of formula units. The relative energy among the computed polymorphs is 196.0 meV/atom.


27.
DFT (PBE) results for crystalline LiReMo2 at its relaxed geometry.

The space group is Fm-3m (No. 225) and the conventional cell measures 6.1719, 6.1719 and 6.1719 Å, with angles of 90.00, 90.00 and 90.00 degrees. The asymmetric unit holds Li at (0.0000, 0.0000, 0.0000), Re at (0.0000, 0.0000, 0.5000) and Mo at (0.2500, 0.2500, 0.2500).

The formation energy comes out at 99 kJ/mol of formula units. The relative energy among the computed polymorphs is 46.3 meV/atom.


28.
DFT (PBE) results for crystalline Li2ReMo at its relaxed geometry.

The space group is Cmm2 (No. 35) and the conventional cell measures 3.0499, 4.3725 and 9.4544 Å, with angles of 90.00, 90.00 and 90.00 degrees. The asymmetric unit holds Li at (0.0000, 0.0000, 0.0000), Li at (0.0000, 0.5000, 0.2750), Re at (0.0000, 0.0000, 0.5139) and Mo at (0.0000, 0.5000, 0.7481).

The formation energy comes out at 75 kJ/mol of formula units. The relative energy among the computed polymorphs is 0.0 meV/atom.


29.
DFT (PBE) results for crystalline LiReMo at its relaxed geometry.

The space group is P3m1 (No. 156) and the conventional cell measures 4.3964, 4.3964 and 2.5993 Å, with angles of 90.00, 90.00 and 120.00 degrees. The asymmetric unit holds Li at (0.0000, 0.0000, 0.0000), Re at (0.3333, 0.6667, 0.6457) and Mo at (0.6667, 0.3333, 0.3549).

The formation energy comes out at 40 kJ/mol of formula units. The relative energy among the computed polymorphs is 0.0 meV/atom.


30.
DFT (PBE) results for crystalline LiReMo2 at its relaxed geometry.

The space group is Pmmm (No. 47) and the conventional cell measures 3.4056, 4.1110 and 4.1755 Å, with angles of 90.00, 90.00 and 90.00 degrees. The asymmetric unit holds Li at (0.0000, 0.0000, 0.0000), Re at (0.5000, 0.0000, 0.5000), Mo at (0.0000, 0.5000, 0.5000) and Mo at (0.5000, 0.5000, 0.0000).

The formation energy comes out at 148 kJ/mol of formula units. The relative energy among the computed polymorphs is 173.2 meV/atom.